# 1
A plane-wave DFT calculation with PBE was carried out for a relaxed La2TbPmY5 crystal.

The structure belongs to space group I4/mcm (No. 140); the cell edges are 8.725, 8.725 and 15.869 Å and the angles 90.00°, 90.00° and 90.00°. The asymmetric unit holds La at (0.117, 0.383, 0.000), Tb at (0.000, 0.500, 0.250), Pm at (0.000, 0.000, 0.250), Y at (0.000, 0.000, 0.000) and Y at (0.214, 0.286, 0.360).

The value obtained for the total energy is -5.49 eV per atom. Its size of the total moment is 0.0 μB/f.u. Its calculated volume is 33.557 Å³ per atom. The calculation puts the calculated formation energy at 241 meV per atom.

***

# 2
A plane-wave DFT calculation with PBE was carried out for a relaxed Tl3InHgBi crystal.

The structure belongs to space group P2_1/m (No. 11); the cell edges are 9.347, 3.541 and 11.919 Å and the angles 90.00°, 111.64° and 90.00°. The asymmetric unit holds Tl at (0.171, 0.250, 0.261), Tl at (0.178, 0.750, 0.009), Tl at (0.185, 0.750, 0.516), In at (0.481, 0.750, 0.872), Hg at (0.497, 0.750, 0.367) and Bi at (0.160, 0.250, 0.757).

The value obtained for the total energy is -2.34 eV per atom. Its size of the total moment is 0.0 μB/f.u. Its calculated volume is 30.556 Å³ per atom. The calculation puts the calculated formation energy at -4 meV per atom.

***

# 3
A plane-wave DFT calculation with PBE was carried out for a relaxed Sr4Th3SiN8 crystal.

The structure belongs to space group C2/m (No. 12); the cell edges are 12.996, 7.039 and 7.210 Å and the angles 90.00°, 122.23° and 90.00°. The asymmetric unit holds Sr at (0.000, 0.000, 0.000), Sr at (0.000, 0.500, 0.000), Sr at (0.250, 0.250, 0.000), Th at (0.000, 0.000, 0.500), Th at (0.250, 0.250, 0.500), Si at (0.000, 0.500, 0.500), N at (0.016, 0.296, 0.324), N at (0.219, 0.000, 0.248) and N at (0.226, 0.000, 0.709).

The value obtained for the total energy is -7.25 eV per atom. Its size of the total moment is 0.0 μB/f.u. Its calculated volume is 17.435 Å³ per atom. For the uncorrected formation energy, the calculation gives -0.941 eV per atom.

***

# 4
A plane-wave DFT calculation with PBE was carried out for a relaxed Ba3Re crystal.

The structure belongs to space group P6_3/mmc (No. 194); the cell edges are 9.2557, 9.2557 and 4.5387 Å and the angles 90.00°, 90.00° and 120.00°. The asymmetric unit holds Ba at (0.2003, 0.4007, 0.2500) and Re at (0.3333, 0.6667, 0.7500).

The value obtained for the total energy is -3.64 eV per atom. Its size of the total moment is 0.0 μB/f.u. The calculation puts the energy above the most stable polymorph in this dataset at 505 meV per atom. Its calculated volume is 42.091 Å³ per atom. The calculation puts the calculated formation energy at 917 meV per atom.

***

# 5
A plane-wave DFT calculation with PBE was carried out for a relaxed TiRu3O crystal.

The structure belongs to space group Pm-3m (No. 221); the cell edges are 4.566, 4.566 and 4.566 Å and the angles 90.00°, 90.00° and 90.00°. The asymmetric unit holds Ti at (0.000, 0.000, 0.000), Ru at (0.000, 0.000, 0.500) and O at (0.500, 0.500, 0.500).

The value obtained for the total energy is -6.32 eV per atom. Its size of the total moment is 5.8 μB/f.u. The calculation puts the energy above the most stable polymorph in this dataset at 1917 meV per atom. Its calculated volume is 19.043 Å³ per atom. For the uncorrected formation energy, the calculation gives 1.814 eV per atom.

***

# 6
A plane-wave DFT calculation with PBE was carried out for a relaxed Pr4NdS7 crystal.

The structure belongs to space group Cm (No. 8); the cell edges are 13.518, 3.989 and 12.015 Å and the angles 90.00°, 105.02° and 90.00°. The asymmetric unit holds Pr at (0.000, 0.000, 0.000), Pr at (0.088, 0.500, 0.389), Pr at (0.190, 0.000, 0.769), Pr at (0.389, 0.500, 0.578), Nd at (0.277, 0.500, 0.157), S at (0.048, 0.500, 0.629), S at (0.129, 0.500, 0.931), S at (0.150, 0.000, 0.227), S at (0.229, 0.000, 0.528), S at (0.345, 0.500, 0.794), S at (0.387, 0.000, 0.079) and S at (0.431, 0.500, 0.362).

The value obtained for the total energy is -6.44 eV per atom. Its size of the total moment is 0.0 μB/f.u. Its calculated volume is 26.071 Å³ per atom. For the uncorrected formation energy, the calculation gives -2.042 eV per atom.

***

# 7
A plane-wave DFT calculation with PBE was carried out for a relaxed RbNa2AsRh crystal.

The structure belongs to space group P4/mmm (No. 123); the cell edges are 5.575, 5.575 and 4.679 Å and the angles 90.00°, 90.00° and 90.00°. The asymmetric unit holds Rb at (0.000, 0.000, 0.000), Na at (0.000, 0.500, 0.500), As at (0.500, 0.500, 0.000) and Rh at (0.500, 0.500, 0.500).

The value obtained for the total energy is -3.31 eV per atom. Its size of the total moment is 0.0 μB/f.u. Its calculated volume is 29.086 Å³ per atom. The calculation puts the calculated formation energy at -187 meV per atom.

***

# 8
A plane-wave DFT calculation with PBE was carried out for a relaxed La2Pm3Dy3 crystal.

The structure belongs to space group Immm (No. 71); the cell edges are 5.146, 5.154 and 20.490 Å and the angles 90.00°, 90.00° and 90.00°. The asymmetric unit holds La at (0.000, 0.000, 0.250), Pm at (0.000, 0.000, 0.000), Pm at (0.000, 0.500, 0.122), Dy at (0.000, 0.000, 0.500) and Dy at (0.000, 0.500, 0.378).

The value obtained for the total energy is -4.72 eV per atom. Its size of the total moment is 0.0 μB/f.u. The calculation puts the energy above the most stable polymorph in this dataset at 0 meV per atom. Its calculated volume is 33.965 Å³ per atom. The calculation puts the calculated formation energy at 21 meV per atom.